[1]
This record from Alexandria describes a relaxed structure of Zr2AgRu. The functional is PBE.

The mass density is 8.03 g/cm³. The total magnetization is 0.00 μB per cell. As for the total energy: -7.185 eV/atom. Its formation enthalpy at 0 K is 121 meV per atom.

a = 7.464 Å, b = 7.464 Å, c = 5.811 Å
α = 90.00°, β = 90.00°, γ = 90.00°
Space group I-42d (No. 122)
Inequivalent atoms, fractional coordinates:
Zr: 0.221 0.250 0.125 (multiplicity 8)
Ag: 0.000 0.000 0.500 (multiplicity 4)
Ru: 0.000 0.000 0.000 (multiplicity 4)

=====

[2]
This record from Alexandria describes a relaxed structure of Zr2AgRu. The functional is PBE.

The mass density is 8.43 g/cm³. The total magnetization is 0.00 μB per cell. As for the total energy: -7.440 eV/atom. Its formation enthalpy at 0 K is -134 meV per atom.

a = 10.919 Å, b = 3.365 Å, c = 4.624 Å
α = 90.00°, β = 114.85°, γ = 90.00°
Space group Cm (No. 8)
Inequivalent atoms, fractional coordinates:
Zr: 0.000 0.000 0.000 (multiplicity 2)
Zr: 0.226 0.000 0.726 (multiplicity 2)
Ag: 0.453 0.000 0.453 (multiplicity 2)
Ru: 0.213 0.500 0.214 (multiplicity 2)

=====

Q: Which N(E_F) values were calculated for the entries above? A: 4.5 3.5, in states/eV/f.u..